# Pr6AlIn3 | Alexandria via LeMat-Bulk | PBE | optimized geometry
data_Pr6AlIn3
_symmetry_space_group_name_H-M 'P 1 21/m 1'
_symmetry_Int_Tables_number 11
_cell_length_a 9.692
_cell_length_b 5.434
_cell_length_c 12.007
_cell_angle_alpha 90.00
_cell_angle_beta 107.07
_cell_angle_gamma 90.00
loop_
_symmetry_equiv_pos_as_xyz
'x,y,z'
'-x,-y,-z'
'-x,y+1/2,-z'
'x,-y+1/2,z'
loop_
_atom_site_label
_atom_site_type_symbol
_atom_site_fract_x
_atom_site_fract_y
_atom_site_fract_z
_atom_site_occupancy
Pr1 Pr 0.035 0.250 0.411 1
Pr2 Pr 0.164 0.750 0.172 1
Pr3 Pr 0.265 0.250 0.000 1
Pr4 Pr 0.349 0.750 0.817 1
Pr5 Pr 0.375 0.250 0.346 1
Pr6 Pr 0.401 0.250 0.625 1
Al1 Al 0.456 0.750 0.104 1
In1 In 0.029 0.750 0.881 1
In2 In 0.116 0.250 0.718 1
In3 In 0.270 0.750 0.471 1
# - Formation energy from the elements: -354 meV per atom
# - Magnetic moment: 0.000 μB per cell

---

# RbNbInNi2 | Alexandria via LeMat-Bulk | PBE | optimized geometry
data_RbNbInNi2
_symmetry_space_group_name_H-M 'P 4/m m m'
_symmetry_Int_Tables_number 123
_symmetry_space_group_name_Hall '-P 4 2'
_cell_length_a 4.834
_cell_length_b 4.834
_cell_length_c 5.628
_cell_angle_alpha 90.00
_cell_angle_beta 90.00
_cell_angle_gamma 90.00
loop_
_atom_site_label
_atom_site_type_symbol
_atom_site_fract_x
_atom_site_fract_y
_atom_site_fract_z
_atom_site_occupancy
Rb1 Rb 0.000 0.000 0.000 1
Nb1 Nb 0.500 0.500 0.000 1
In1 In 0.000 0.000 0.500 1
Ni1 Ni 0.000 0.500 0.500 1
# - Formation energy from the elements: 1857 meV per atom
# - Magnetic moment: 0.883 μB per cell